# 1
First-principles (meta-GGA SCAN) data for a crystal of CeCo5 relaxed with PBEsol, as listed in Alexandria via LeMat-Bulk.

abc: 3.9649 4.7827 4.7827
angles: 120.00 90.00 90.00
Fractional coordinates of all 6 atoms:
Co (0.5000, 0.5000, 0.5000)
Co (0.0000, 0.6667, 0.3333)
Co (0.0000, 0.3333, 0.6667)
Ce (0.0000, 0.0000, 0.0000)
Co (0.5000, 0.5000, 0.0000)
Co (0.5000, 0.0000, 0.5000)

Values from the calculation:
The value obtained for the formation energy from the elements is -0.012 eV/atom.

***

# 2
First-principles (meta-GGA SCAN) data for a crystal of LaTeIO2 relaxed with PBEsol, as listed in Alexandria via LeMat-Bulk.

abc: 4.3686 4.3686 7.1832
angles: 90.00 90.00 90.00
Fractional coordinates of all 5 atoms:
Te (0.5000, 0.5000, 0.5000)
O (0.0000, 0.5000, 0.0000)
La (0.0000, 0.0000, 0.0000)
O (0.5000, 0.0000, 0.0000)
I (0.0000, 0.0000, 0.5000)

Values from the calculation:
For the polymorph energy (0 for the lowest one), the calculation gives 0.0 meV/atom. Its formation energy (no corrections) is -1.1903 eV per atom.

***

# 3
First-principles (meta-GGA SCAN) data for a crystal of MgSc relaxed with PBEsol, as listed in Alexandria via LeMat-Bulk.

abc: 3.1944 6.1927 7.5229
angles: 104.52 90.00 104.95
Fractional coordinates of all 6 atoms:
Mg (0.9993, 0.9985, 0.9993)
Mg (0.3323, 0.6646, 0.6728)
Sc (0.6726, 0.3453, 0.3403)
Sc (0.0555, 0.1110, 0.6056)
Mg (0.3913, 0.7826, 0.2744)
Sc (0.7157, 0.4313, 0.9409)

Values from the calculation:
The value obtained for the formation energy from the elements is -0.003 eV/atom.

***

What are the E_tot values for these records? In order: -21.859; -27.102; -9.608 eV per atom.